PrEr5Bi4: relaxed, PBE-GGA. Values from VASP.

Values from the calculation:
The value obtained for the formation energy is -0.5414 eV/atom. The value obtained for the calculated volume is 33.32 A^3/atom. The value obtained for the density of states at the Fermi level is 0.76 states/eV per atom.

Quantum ESPRESSO input file:
```
&SYSTEM
  ibrav = 0, nat = 10, ntyp = 3
/
ATOMIC_SPECIES
Pr 140.91 Pr.upf
Er 167.26 Er.upf
Bi 208.98 Bi.upf
CELL_PARAMETERS angstrom
4.4158 0.0000 0.0000
0.0000 7.4558 -2.0168
-2.2079 -2.9483 10.9178
ATOMIC_POSITIONS angstrom
Pr 2.2079 0.0000 0.0000
Er 2.2079 3.4421 5.3645
Er 2.2079 -0.1637 6.1778
Er 0.0000 4.6712 2.7232
Er 2.2079 3.7279 -1.0084
Er 0.0000 1.0654 3.5366
Bi 0.0000 -1.7333 7.8165
Bi 2.2079 2.2109 8.1970
Bi 2.2079 6.2407 1.0845
Bi 0.0000 2.2965 0.7041
```